Entry 1:
Compound: Pr5Cd2Os
Source: Alexandria via LeMat-Bulk
Functional: GGA-PBE
Structure: relaxed

The total energy comes out at -38.26 eV per formula unit.

It has space group Pbam (No. 55), with a = 7.9140 Å, b = 12.5338 Å, c = 4.9293 Å, α = 90.00°, β = 90.00° and γ = 90.00°. The asymmetric unit holds Pr at (0.0000, 0.0000, 0.0000), Pr at (0.1436, 0.2979, 0.0000), Pr at (0.1811, 0.5720, 0.5000), Cd at (0.0769, 0.8335, 0.5000) and Os at (0.0000, 0.5000, 0.0000).


Entry 2:
Compound: La2Tm3Sn4
Source: Alexandria via LeMat-Bulk
Functional: GGA-PBE
Structure: relaxed

The total energy comes out at -46.48 eV per formula unit. As for the energy relative to the lowest polymorph listed for this composition: 0.000 eV/atom.

It has space group P2_1/c (No. 14), with a = 8.3258 Å, b = 8.3265 Å, c = 8.0944 Å, α = 90.00°, β = 110.36° and γ = 90.00°. The asymmetric unit holds La at (0.1918, 0.1758, 0.0622), Tm at (0.2489, 0.6657, 0.2440), Tm at (0.5000, 0.0000, 0.5000), Sn at (0.0840, 0.5420, 0.8470) and Sn at (0.4930, 0.1348, 0.8623).


Entry 3:
Compound: Zr3CdC
Source: Alexandria via LeMat-Bulk
Functional: GGA-PBE
Structure: relaxed

The total energy comes out at -30.04 eV per formula unit. As for the energy relative to the lowest polymorph listed for this composition: 1.577 eV/atom.

It has space group I-4m2 (No. 119), with a = 4.9011 Å, b = 4.9011 Å, c = 22.6498 Å, α = 90.00°, β = 90.00° and γ = 90.00°. The asymmetric unit holds Zr at (0.0000, 0.0000, 0.1891), Zr at (0.0000, 0.2385, 0.6299), Cd at (0.0000, 0.0000, 0.5000), Cd at (0.0000, 0.5000, 0.7500) and C at (0.0000, 0.5000, 0.1501).


Entry 4:
Compound: Cs5NaBi2
Source: Alexandria via LeMat-Bulk
Functional: GGA-PBE
Structure: relaxed

The total energy comes out at -16.05 eV per formula unit.

It has space group P6_3/mmc (No. 194), with a = 6.8495 Å, b = 6.8495 Å, c = 23.2761 Å, α = 90.00°, β = 90.00° and γ = 120.00°. The asymmetric unit holds Cs at (0.0000, 0.0000, 0.1325), Cs at (0.3333, 0.6667, 0.0514), Cs at (0.3333, 0.6667, 0.2500), Na at (0.3333, 0.6667, 0.7500) and Bi at (0.3333, 0.6667, 0.6196).


Entry 5:
Compound: Hf2TaV
Source: Alexandria via LeMat-Bulk
Functional: GGA-PBE
Structure: relaxed

The total energy comes out at -40.16 eV per formula unit. As for the energy relative to the lowest polymorph listed for this composition: 0.002 eV/atom.

It has space group Fm-3m (No. 225), with a = 6.7662 Å, b = 6.7662 Å, c = 6.7662 Å, α = 90.00°, β = 90.00° and γ = 90.00°. The asymmetric unit holds Hf at (0.2500, 0.2500, 0.2500), Ta at (0.0000, 0.0000, 0.0000) and V at (0.0000, 0.0000, 0.5000).


Entry 6:
Compound: U2Si4IrRh3
Source: Alexandria via LeMat-Bulk
Functional: GGA-PBE
Structure: relaxed

The total energy comes out at -82.92 eV per formula unit. The value obtained for the uncorrected formation energy is -0.774 eV per atom.

It has space group P-4m2 (No. 115), with a = 4.0944 Å, b = 4.0944 Å, c = 9.8677 Å, α = 90.00°, β = 90.00° and γ = 90.00°. The asymmetric unit holds U at (0.0000, 0.5000, 0.2447), Si at (0.0000, 0.0000, 0.0000), Si at (0.0000, 0.5000, 0.6333), Si at (0.5000, 0.5000, 0.0000), Ir at (0.0000, 0.0000, 0.5000), Rh at (0.0000, 0.5000, 0.8726) and Rh at (0.5000, 0.5000, 0.5000).